[1]
This record from Alexandria via LeMat-Bulk describes a PBEsol-optimized structure of Y3Si2Rh2. The functional is SCAN.

The structure in CIF format:
```
data_Y3Si2Rh2
_symmetry_space_group_name_H-M 'P b c m'
_symmetry_Int_Tables_number 57
_symmetry_space_group_name_Hall '-P 2c 2b'
_cell_length_a 5.520
_cell_length_b 7.666
_cell_length_c 12.940
_cell_angle_alpha 90.00
_cell_angle_beta 90.00
_cell_angle_gamma 90.00
loop_
_atom_site_label
_atom_site_type_symbol
_atom_site_fract_x
_atom_site_fract_y
_atom_site_fract_z
Y1 Y 0.130 0.248 0.250
Y2 Y 0.362 0.607 0.102
Si1 Si 0.128 0.250 0.000
Si2 Si 0.359 0.604 0.750
Rh1 Rh 0.134 0.533 0.590
```

* final energy: -25.506 eV/atom
* uncorrected formation energy: -7.4 eV per formula unit
* calculated volume: 19.56 Å³ per atom
* density: 6.41 g/cm³

=====

[2]
This record from Alexandria via LeMat-Bulk describes a PBEsol-optimized structure of YSi2Rh. The functional is SCAN.

The structure in CIF format:
```
data_YSi2Rh
_symmetry_space_group_name_H-M 'P 4/m m m'
_symmetry_Int_Tables_number 123
_symmetry_space_group_name_Hall '-P 4 2'
_cell_length_a 3.075
_cell_length_b 3.075
_cell_length_c 6.775
_cell_angle_alpha 90.00
_cell_angle_beta 90.00
_cell_angle_gamma 90.00
loop_
_atom_site_label
_atom_site_type_symbol
_atom_site_fract_x
_atom_site_fract_y
_atom_site_fract_z
Y1 Y 0.000 0.000 0.000
Si1 Si 0.500 0.500 0.300
Rh1 Rh 0.000 0.000 0.500
```

* final energy: -21.012 eV/atom
* uncorrected formation energy: -2.4 eV per formula unit
* calculated volume: 16.01 Å³ per atom
* density: 6.43 g/cm³

=====

[3]
This record from Alexandria via LeMat-Bulk describes a PBEsol-optimized structure of YSi2Rh. The functional is SCAN.

The structure in CIF format:
```
data_YSi2Rh
_symmetry_space_group_name_H-M 'I 4/m m m'
_symmetry_Int_Tables_number 139
_symmetry_space_group_name_Hall '-I 4 2'
_cell_length_a 4.545
_cell_length_b 4.545
_cell_length_c 6.343
_cell_angle_alpha 90.00
_cell_angle_beta 90.00
_cell_angle_gamma 90.00
loop_
_atom_site_label
_atom_site_type_symbol
_atom_site_fract_x
_atom_site_fract_y
_atom_site_fract_z
Y1 Y 0.000 0.000 0.000
Si1 Si 0.000 0.500 0.250
Rh1 Rh 0.000 0.000 0.500
```

* final energy: -20.748 eV/atom
* uncorrected formation energy: -1.3 eV per formula unit
* calculated volume: 16.38 Å³ per atom
* density: 6.29 g/cm³

=====

Question: What is the density in the second record?
Answer: 6.43 g/cm³

=====

Question: final energy of number 2 (YSi2Rh)?
Answer: -21.012 eV/atom

=====

Question: The highest uncorrected formation energy belongs to which entry?
Answer: number 3

=====

Question: What is the formula in the first record?
Answer: Y3Si2Rh2